NpCr2InS6, relaxed, DFT GGA-PBE; total magnetization = 10.01 Bohr magnetons per cell; SG = R3, No. 146; theoretical density = 5236 kg/m3; raw total energy = -6.7263 eV/atom
1.0
6.435 0.000 0.001
3.217 5.572 0.000
3.218 1.857 5.733
S Np Cr In
6 1 2 1
Cartesian
4.509 3.458 4.267 S
7.175 5.512 4.268 S
5.186 5.368 1.370 S
8.491 3.969 1.371 S
5.627 1.806 1.371 S
7.621 2.176 4.268 S
9.652 5.572 3.220 Np
6.435 3.715 2.691 Cr
3.218 1.857 5.528 Cr
3.217 1.857 0.405 In